Record 1
## KCoO3 (PBE+U)

Data for a relaxed KCoO3 crystal.

Output
Total magnetization: 0.0 μB per cell
Energy: -4.67 eV per atom

Lattice parameters (Å, degrees): 3.8225 3.8225 3.8225 90.00 90.00 90.00
Closest atoms and distances in Å follow each position.
Space group Pm-3m (No. 221)
Inequivalent atoms, fractional coordinates:
1 K 0.0000 0.0000 0.0000 [1 per cell]  12 O 2.70
2 Co 0.5000 0.5000 0.5000 [1 per cell]  6 O 1.91
3 O 0.0000 0.5000 0.5000 [3 per cell]  2 Co 1.91

---

Record 2
## K2CoO4 (PBE+U)

Data for a relaxed K2CoO4 crystal.

Output
Total magnetization: 8.0 μB per cell
Energy: -4.71 eV per atom

Lattice parameters (Å, degrees): 9.5749 9.5749 9.5749 90.00 90.00 90.00
Closest atoms and distances in Å follow each position.
Space group Fd-3m (No. 227, origin choice 2)
Inequivalent atoms, fractional coordinates:
1 K 0.0000 0.0000 0.0000 [16 per cell]  6 O 2.65
2 Co 0.1250 0.1250 0.6250 [8 per cell]  4 O 1.66
3 O 0.0249 0.0249 0.7251 [32 per cell]  1 Co 1.66

---

Record 3
## K3CoO3 (PBE+U)

Data for a relaxed K3CoO3 crystal.

Output
Total magnetization: 16.0 μB per cell
Energy: -4.61 eV per atom

Lattice parameters (Å, degrees): 8.8213 10.9075 5.4741 90.00 90.00 90.00
Closest atoms and distances in Å follow each position.
Space group Cmcm (No. 63)
Inequivalent atoms, fractional coordinates:
1 K 0.0000 0.1054 0.2500 [4 per cell]  5 O 2.61-2.84
2 K 0.2060 0.3851 0.2500 [8 per cell]  4 O 2.60-2.75
3 Co 0.0000 0.2981 0.7500 [4 per cell]  3 O 1.77-1.79
4 O 0.0000 0.1343 0.7500 [4 per cell]  1 Co 1.79
5 O 0.1796 0.3697 0.7500 [8 per cell]  1 Co 1.77